[1]
A plane-wave DFT calculation with PBE was carried out for an optimized crystal structure of Pu7Ge3H2.

Its uncorrected energy is -248.42 eV/cell. The theoretical density comes out at 14.0 g/cm3. The calculation puts the density of states at the Fermi level at 3.38 states/eV per atom.

The space group is Cmmm (No. 65) and the conventional cell measures 4.580, 23.395 and 4.271 Å, with angles of 90.00, 90.00 and 90.00 degrees. Symmetry generates all atoms from Pu at (0.000, 0.000, 0.000), Pu at (0.000, 0.096, 0.500), Pu at (0.000, 0.211, 0.000), Pu at (0.000, 0.404, 0.000), Ge at (0.000, 0.312, 0.500), Ge at (0.000, 0.500, 0.500) and H at (0.000, 0.117, 0.000).

[2]
A plane-wave DFT calculation with PBE was carried out for an optimized crystal structure of Sm2Ni3Ge4Pt.

Its formation energy is -0.76 eV per atom. Its uncorrected energy is -58.88 eV/cell. The theoretical density comes out at 9.3 g/cm3. The calculation puts the density of states at the Fermi level at 0.69 states/eV per atom.

The space group is P-4m2 (No. 115) and the conventional cell measures 4.172, 4.172 and 9.829 Å, with angles of 90.00, 90.00 and 90.00 degrees. Symmetry generates all atoms from Sm at (0.000, 0.500, 0.245), Ni at (0.000, 0.500, 0.880), Ni at (0.500, 0.500, 0.500), Ge at (0.000, 0.000, 0.000), Ge at (0.000, 0.500, 0.641), Ge at (0.500, 0.500, 0.000) and Pt at (0.000, 0.000, 0.500).

[3]
A plane-wave DFT calculation with PBE was carried out for an optimized crystal structure of Nb6Ga3Os.

Its formation energy is 0.02 eV per atom. Its uncorrected energy is -161.06 eV/cell. The theoretical density comes out at 8.8 g/cm3. The calculation puts the density of states at the Fermi level at 0.63 states/eV per atom.

The space group is P2_1/c (No. 14) and the conventional cell measures 4.988, 7.772 and 10.558 Å, with angles of 90.00, 117.64 and 90.00 degrees. Symmetry generates all atoms from Nb at (0.010, 0.168, 0.062), Nb at (0.367, 0.177, 0.430), Nb at (0.398, 0.564, 0.252), Ga at (0.000, 0.000, 0.500), Ga at (0.125, 0.618, 0.754) and Os at (0.500, 0.000, 0.000).

Copy entry 3 word for word.
A plane-wave DFT calculation with PBE was carried out for an optimized crystal structure of Nb6Ga3Os.

Its formation energy is 0.02 eV per atom. Its uncorrected energy is -161.06 eV/cell. The theoretical density comes out at 8.8 g/cm3. The calculation puts the density of states at the Fermi level at 0.63 states/eV per atom.

The space group is P2_1/c (No. 14) and the conventional cell measures 4.988, 7.772 and 10.558 Å, with angles of 90.00, 117.64 and 90.00 degrees. Symmetry generates all atoms from Nb at (0.010, 0.168, 0.062), Nb at (0.367, 0.177, 0.430), Nb at (0.398, 0.564, 0.252), Ga at (0.000, 0.000, 0.500), Ga at (0.125, 0.618, 0.754) and Os at (0.500, 0.000, 0.000).

Please write out number 2 again, unchanged.
A plane-wave DFT calculation with PBE was carried out for an optimized crystal structure of Sm2Ni3Ge4Pt.

Its formation energy is -0.76 eV per atom. Its uncorrected energy is -58.88 eV/cell. The theoretical density comes out at 9.3 g/cm3. The calculation puts the density of states at the Fermi level at 0.69 states/eV per atom.

The space group is P-4m2 (No. 115) and the conventional cell measures 4.172, 4.172 and 9.829 Å, with angles of 90.00, 90.00 and 90.00 degrees. Symmetry generates all atoms from Sm at (0.000, 0.500, 0.245), Ni at (0.000, 0.500, 0.880), Ni at (0.500, 0.500, 0.500), Ge at (0.000, 0.000, 0.000), Ge at (0.000, 0.500, 0.641), Ge at (0.500, 0.500, 0.000) and Pt at (0.000, 0.000, 0.500).

Look up the uncorrected energy of the second one.
-58.88 eV/cell